Model i:
{
  "formula": "CrRe2Ni",
  "functional": "GGA-PBE",
  "state": "relaxed",
  "lattice_angstrom": [[3.103, 0.000, 0.000], [0.000, 3.103, 0.000], [0.000, 0.000, 5.499]],
  "species": ["Cr", "Re", "Re", "Ni"],
  "frac_coords": [[0.000, 0.000, 0.530], [0.500, 0.500, 0.260], [0.000, 0.000, 0.978], [0.500, 0.500, 0.732]],
  "density_g_cm3": 15.15,
  "sg": "P4mm, No. 99"
}



Model ii:
{
  "formula": "CrRe2Ni",
  "functional": "GGA-PBE",
  "state": "relaxed",
  "lattice_angstrom": [[-1.140, -2.269, -3.751], [-2.858, -3.022, -1.796], [-3.232, 2.881, -1.730]],
  "species": ["Re", "Cr", "Ni", "Re"],
  "frac_coords": [[0.000, 0.000, 0.002], [0.750, 0.750, 0.750], [0.250, 0.250, 0.250], [0.500, 0.500, 0.498]],
  "density_g_cm3": 14.93,
  "sg": "C2/m, No. 12"
}



Model iii:
{
  "formula": "CrRe2Ni",
  "functional": "GGA-PBE",
  "state": "relaxed",
  "lattice_angstrom": [[-1.978, 5.168, 2.232], [1.398, -3.385, 2.718], [1.832, 1.630, 1.082]],
  "species": ["Cr", "Re", "Ni", "Re"],
  "frac_coords": [[0.000, 0.500, 0.500], [0.500, 0.000, 0.500], [0.500, 0.500, 0.000], [0.000, 0.000, 0.000]],
  "density_g_cm3": 15.18,
  "sg": "Cmmm, No. 65"
}



Model iv:
{
  "formula": "CrRe2Ni",
  "functional": "GGA-PBE",
  "state": "relaxed",
  "lattice_angstrom": [[3.778, 0.000, 0.000], [0.000, 3.778, 0.000], [0.000, 0.000, 3.685]],
  "species": ["Ni", "Re", "Re", "Cr"],
  "frac_coords": [[0.000, 0.500, 0.500], [0.500, 0.500, 0.000], [0.000, 0.000, 0.000], [0.500, 0.000, 0.500]],
  "density_g_cm3": 15.25,
  "sg": "P4/mmm, No. 123"
}



Stability, lowest: model ii



Model i:
{
  "formula": "CrRe2Ni",
  "functional": "GGA-PBE",
  "state": "relaxed",
  "lattice_angstrom": [[-2.456, -2.629, 1.544], [1.050, -1.851, -1.481], [4.328, -2.510, 2.612]],
  "species": ["Ni", "Cr", "Re", "Re"],
  "frac_coords": [[0.500, 0.750, 0.750], [0.500, 0.250, 0.250], [0.000, 0.072, 0.999], [0.000, 0.428, 0.501]],
  "density_g_cm3": 15.03,
  "sg": "P2/m, No. 10"
}



Model ii:
{
  "formula": "CrRe2Ni",
  "functional": "GGA-PBE",
  "state": "relaxed",
  "lattice_angstrom": [[-1.912, 2.181, 3.470], [-2.028, -3.127, 2.561], [4.232, 0.178, -1.584]],
  "species": ["Re", "Cr", "Ni", "Re"],
  "frac_coords": [[0.000, 0.000, 0.000], [0.250, 0.750, 0.500], [0.750, 0.250, 0.500], [0.500, 0.500, 0.000]],
  "density_g_cm3": 15.22,
  "sg": "I4/mmm, No. 139"
}



Stability, lowest: model i



Model i:
{
  "formula": "CrRe2Ni",
  "functional": "GGA-PBE",
  "state": "relaxed",
  "lattice_angstrom": [[2.677, 0.000, 0.000], [0.000, 3.714, 0.000], [0.000, 0.000, 5.338]],
  "species": ["Re", "Cr", "Ni", "Re"],
  "frac_coords": [[0.000, 0.000, 0.493], [0.500, 0.500, 0.250], [0.500, 0.500, 0.750], [0.000, 0.000, 0.007]],
  "density_g_cm3": 15.12,
  "sg": "Pmmm, No. 47"
}



Model ii:
{
  "formula": "CrRe2Ni",
  "functional": "GGA-PBE",
  "state": "relaxed",
  "lattice_angstrom": [[4.218, 0.000, 0.000], [0.000, 2.598, 0.001], [0.000, 0.906, 4.844]],
  "species": ["Ni", "Cr", "Re", "Re"],
  "frac_coords": [[0.500, 0.601, 0.753], [0.000, 0.583, 0.495], [0.000, 0.031, 0.978], [0.500, 0.284, 0.274]],
  "density_g_cm3": 15.11,
  "sg": "Pm, No. 6"
}



Stability, lowest: model i



Model i:
{
  "formula": "CrRe2Ni",
  "functional": "GGA-PBE",
  "state": "relaxed",
  "lattice_angstrom": [[4.580, -0.008, -0.012], [1.479, 4.334, 0.012], [-3.022, -2.173, 2.665]],
  "species": ["Re", "Cr", "Re", "Ni"],
  "frac_coords": [[0.750, 0.250, 0.500], [0.500, 0.500, 0.000], [0.000, 0.000, 0.000], [0.250, 0.750, 0.500]],
  "density_g_cm3": 15.16,
  "sg": "I-4m2, No. 119"
}



Model ii:
{
  "formula": "CrRe2Ni",
  "functional": "GGA-PBE",
  "state": "relaxed",
  "lattice_angstrom": [[2.621, 0.033, 0.000], [-0.700, 2.526, 0.000], [0.000, 0.000, 8.074]],
  "species": ["Cr", "Ni", "Re", "Re"],
  "frac_coords": [[0.000, 0.000, 0.511], [0.500, 0.500, 0.739], [0.500, 0.500, 0.263], [0.000, 0.000, 0.987]],
  "density_g_cm3": 14.95,
  "sg": "Cmm2, No. 35"
}



Model iii:
{
  "formula": "CrRe2Ni",
  "functional": "GGA-PBE",
  "state": "relaxed",
  "lattice_angstrom": [[8.729, 0.000, 0.000], [8.313, 2.661, 0.000], [8.313, 1.298, 2.323]],
  "species": ["Re", "Re", "Cr", "Ni"],
  "frac_coords": [[0.501, 0.501, 0.501], [0.999, 0.999, 0.999], [0.250, 0.250, 0.250], [0.750, 0.750, 0.750]],
  "density_g_cm3": 14.86,
  "sg": "R-3m, No. 166"
}



Model iv:
{
  "formula": "CrRe2Ni",
  "functional": "GGA-PBE",
  "state": "relaxed",
  "lattice_angstrom": [[-4.400, 0.625, 1.098], [-3.314, -1.033, 2.984], [0.351, 3.490, 2.866]],
  "species": ["Ni", "Cr", "Re", "Re"],
  "frac_coords": [[0.247, 0.247, 0.255], [0.501, 0.501, 0.492], [0.998, 0.998, 0.013], [0.754, 0.754, 0.741]],
  "density_g_cm3": 15.09,
  "sg": "Cm, No. 8"
}



Stability, lowest: model ii